No. 1
DFT (PBE) results for crystalline Y3ZnPd3 at its relaxed geometry.

Its formation energy is -0.798 eV/atom. As for the crystal system: orthorhombic.

It has space group Cmcm (No. 63), with a = 4.0708 Å, b = 10.4213 Å, c = 14.3413 Å, α = 90.00°, β = 90.00° and γ = 90.00°. The inequivalent atoms are Y at (0.0000, 0.0331, 0.2500), Y at (0.0000, 0.3063, 0.1037), Zn at (0.0000, 0.0000, 0.0000), Pd at (0.0000, 0.2444, 0.7500) and Pd at (0.0000, 0.4081, 0.5927).



No. 2
DFT (PBE) results for crystalline Y3ZnPd12 at its relaxed geometry.

Its formation energy is -0.703 eV/atom. As for the crystal system: tetragonal.

It has space group P4/mmm (No. 123), with a = 4.1065 Å, b = 4.1065 Å, c = 16.1192 Å, α = 90.00°, β = 90.00° and γ = 90.00°. The inequivalent atoms are Y at (0.0000, 0.0000, 0.0000), Y at (0.0000, 0.0000, 0.2591), Zn at (0.0000, 0.0000, 0.5000), Pd at (0.0000, 0.5000, 0.1289), Pd at (0.0000, 0.5000, 0.3872), Pd at (0.5000, 0.5000, 0.0000), Pd at (0.5000, 0.5000, 0.2574) and Pd at (0.5000, 0.5000, 0.5000).



No. 3
DFT (PBE) results for crystalline Y5Zn4Pd at its relaxed geometry.

Its formation energy is -0.470 eV/atom. As for the crystal system: tetragonal.

It has space group P4/mmm (No. 123), with a = 3.5811 Å, b = 3.5811 Å, c = 17.6666 Å, α = 90.00°, β = 90.00° and γ = 90.00°. The inequivalent atoms are Y at (0.0000, 0.0000, 0.0000), Y at (0.0000, 0.0000, 0.2020), Y at (0.0000, 0.0000, 0.4031), Zn at (0.5000, 0.5000, 0.1020), Zn at (0.5000, 0.5000, 0.3007) and Pd at (0.5000, 0.5000, 0.5000).



No. 4
DFT (PBE) results for crystalline Y2Zn15Pd2 at its relaxed geometry.

Its formation energy is -0.327 eV/atom. As for the crystal system: trigonal.

It has space group R-3m (No. 166, hexagonal axes), with a = 8.9785 Å, b = 8.9785 Å, c = 13.1638 Å, α = 90.00°, β = 90.00° and γ = 120.00°. The inequivalent atoms are Y at (0.0000, 0.0000, 0.1628), Zn at (0.0000, 0.2892, 0.5000), Zn at (0.0000, 0.5000, 0.0000), Zn at (0.0058, 0.5029, 0.6515) and Pd at (0.0000, 0.0000, 0.3905).



Which formula does entry 4 have?
Y2Zn15Pd2



Copy entry 4 word for word.
DFT (PBE) results for crystalline Y2Zn15Pd2 at its relaxed geometry.

Its formation energy is -0.327 eV/atom. As for the crystal system: trigonal.

It has space group R-3m (No. 166, hexagonal axes), with a = 8.9785 Å, b = 8.9785 Å, c = 13.1638 Å, α = 90.00°, β = 90.00° and γ = 120.00°. The inequivalent atoms are Y at (0.0000, 0.0000, 0.1628), Zn at (0.0000, 0.2892, 0.5000), Zn at (0.0000, 0.5000, 0.0000), Zn at (0.0058, 0.5029, 0.6515) and Pd at (0.0000, 0.0000, 0.3905).